Record 1
Computed, not measured: MnTl2Au after structural relaxation at the PBEsol level of DFT.

N(E_F)   2.41 states/eV/f.u.
ΔE to the lowest computed polymorph   0.61 eV/f.u.
M_tot   4.02 μB per formula unit

The structure in POSCAR format:
```
MnTl2Au
1.0
-2.122 2.122 4.517
2.122 -2.122 4.517
2.122 2.122 -4.517
Mn Tl Au
1 2 1
Cartesian
0.000 0.000 0.000
0.000 0.000 4.517
0.000 2.122 2.259
2.122 0.000 2.259
```

***

Record 2
Computed, not measured: SrSbH2 after structural relaxation at the PBEsol level of DFT.

N(E_F)   2.05 states/eV/f.u.
Energy   -3.29 eV per atom
M_tot   0.00 μB per formula unit

The structure in POSCAR format:
```
SrSbH2
1.0
-2.333 2.333 6.749
2.333 -2.333 6.749
2.333 2.333 -6.749
Sr Sb H
2 2 4
Cartesian
0.000 0.000 0.000
0.000 2.333 3.374
2.333 0.000 3.374
0.000 0.000 6.749
1.167 -0.825 5.062
1.509 1.167 1.687
1.167 3.158 -1.687
0.825 1.167 8.436
```